# GGA-PBE SiMo2Se, optimized geometry
# E_form (uncorrected)   0.129 eV per atom
# Calculated volume   186.6 Å³ per cell
data_SiMo2Se
_space_group_name_H-M_alt 'R -3 m'
_space_group_IT_number 166
_space_group_name_Hall '-R 3 2"'
_cell_length_a 3.0132
_cell_length_b 3.0132
_cell_length_c 23.7346
_cell_angle_alpha 90.00
_cell_angle_beta 90.00
_cell_angle_gamma 120.00
loop_
_atom_site_label
_atom_site_type_symbol
_atom_site_fract_x
_atom_site_fract_y
_atom_site_fract_z
_atom_site_occupancy
Si1 Si 0.0000 0.0000 0.0000 1
Mo1 Mo 0.0000 0.0000 0.2501 1
Se1 Se 0.0000 0.0000 0.5000 1



# GGA-PBE SiMoSe, optimized geometry
# E_form (uncorrected)   -0.322 eV per atom
# Calculated volume   108.3 Å³ per cell
data_SiMoSe
_space_group_name_H-M_alt 'P 4/n m m'
_space_group_IT_number 129
_cell_length_a 3.357
_cell_length_b 3.357
_cell_length_c 9.607
_cell_angle_alpha 90.00
_cell_angle_beta 90.00
_cell_angle_gamma 90.00
loop_
_space_group_symop_operation_xyz
'x,y,z'
'-x,-y,-z'
'-y+1/2,x,z'
'y+1/2,-x,-z'
'-x+1/2,-y+1/2,z'
'x+1/2,y+1/2,-z'
'y,-x+1/2,z'
'-y,x+1/2,-z'
'x+1/2,-y,-z'
'-x+1/2,y,z'
'-y,-x,-z'
'y,x,z'
'-x,y+1/2,-z'
'x,-y+1/2,z'
'y+1/2,x+1/2,-z'
'-y+1/2,-x+1/2,z'
loop_
_atom_site_label
_atom_site_type_symbol
_atom_site_fract_x
_atom_site_fract_y
_atom_site_fract_z
_atom_site_occupancy
Si1 Si 0.250 0.750 0.000 1
Mo1 Mo 0.250 0.250 0.199 1
Se1 Se 0.250 0.250 0.664 1



# GGA-PBE SiMo2Se, optimized geometry
# E_form (uncorrected)   0.436 eV per atom
# Calculated volume   269.4 Å³ per cell
data_SiMo2Se
_space_group_name_H-M_alt 'I -4 2 d'
_space_group_IT_number 122
_space_group_name_Hall 'I -4 2bw'
_cell_length_a 3.911
_cell_length_b 3.911
_cell_length_c 17.611
_cell_angle_alpha 90.00
_cell_angle_beta 90.00
_cell_angle_gamma 90.00
loop_
_atom_site_label
_atom_site_type_symbol
_atom_site_fract_x
_atom_site_fract_y
_atom_site_fract_z
_atom_site_occupancy
Si1 Si 0.000 0.000 0.000 1
Mo1 Mo 0.247 0.250 0.625 1
Se1 Se 0.000 0.000 0.500 1



# GGA-PBE Si2MoSe, optimized geometry
# E_form (uncorrected)   0.201 eV per atom
# Calculated volume   139.5 Å³ per cell
data_Si2MoSe
_space_group_name_H-M_alt 'C 1 2/m 1'
_space_group_IT_number 12
_space_group_name_Hall '-C 2y'
_cell_length_a 8.539
_cell_length_b 3.303
_cell_length_c 4.949
_cell_angle_alpha 90.00
_cell_angle_beta 91.01
_cell_angle_gamma 90.00
loop_
_atom_site_label
_atom_site_type_symbol
_atom_site_fract_x
_atom_site_fract_y
_atom_site_fract_z
_atom_site_occupancy
Si1 Si 0.214 0.000 0.166 1
Mo1 Mo 0.000 0.500 0.000 1
Se1 Se 0.000 0.000 0.500 1